Li2Mg2Hg3 | Alexandria | PBE | relaxed; space-group type = P-1 (2); formation energy from the elements = -0.253 eV per atom
1.0
4.567 -0.009 -1.275
-2.473 4.010 -0.019
-0.189 -0.145 8.142
Mg Li Hg
2 2 3
direct
0.747 0.875 0.617
0.253 0.125 0.383
0.247 0.624 0.872
0.753 0.376 0.128
0.494 0.747 0.242
0.000 0.000 0.000
0.506 0.253 0.758

---

CeHg2Pd8 | Alexandria | PBE | relaxed; space-group type = C2/m (12); E above lowest polymorph = 0.0000 eV/atom; formation energy from the elements = -0.388 eV per atom
1.0
-0.769 3.170 -2.647
-1.597 -4.208 -4.576
-5.833 -0.099 4.911
Pd Hg Ce
8 2 1
direct
0.043 0.725 0.085
0.136 0.181 0.271
0.957 0.275 0.915
0.411 0.546 0.822
0.589 0.454 0.178
0.680 0.911 0.359
0.864 0.819 0.729
0.320 0.089 0.641
0.224 0.647 0.448
0.776 0.353 0.552
0.500 0.000 0.000

---

NaSb2Pd3 | Alexandria | PBE | relaxed; energy relative to the elements, uncorrected = -396 meV per atom; space-group type = C2/m (12); E above lowest polymorph = 0.0622 eV/atom
1.0
-3.394 -1.519 -1.966
2.923 -6.624 4.573
-4.855 5.221 4.347
Pd Sb Na
6 4 2
direct
0.315 0.630 0.546
0.685 0.370 0.454
0.412 0.825 0.334
0.046 0.092 0.388
0.588 0.175 0.666
0.954 0.908 0.612
0.195 0.389 0.686
0.525 0.050 0.188
0.475 0.950 0.812
0.805 0.611 0.314
0.151 0.302 0.044
0.849 0.698 0.956

---

N(E_F) list, top to bottom, in states/eV/f.u.: 2.0 4.1 2.3